DFT (PBE) results for a geometry-optimized MnIrSe structure.

Geometry as POSCAR:
```
MnIrSe
1.0
-0.9655 2.4087 -6.7671
-1.4263 -0.3912 -6.8518
-2.3468 1.5965 0.0569
Ir Mn Se
1 1 1
Direct
0.9761 0.9761 0.0239 Ir
0.3341 0.3341 0.6659 Mn
0.6898 0.6898 0.3102 Se
```

ΔE to the lowest computed polymorph ... 269.2 meV per atom
ΔE_f (raw) ... 333 meV/atom